This record from Alexandria describes a relaxed DyErTh crystal. The functional is PBE.

Cell and atoms, written as extended XYZ:
```
3
Lattice="3.568 0.000 0.000 0.000 3.568 0.000 -1.784 -1.784 7.449" Properties=species:S:1:pos:R:3 pbc="T T T"
Th 1.784 1.784 2.490
Er 0.000 0.000 4.889
Dy 0.000 0.000 0.069
```

Computed properties:
Its space-group type is No. 107. The density comes out at 9.8 g/cm3. The value obtained for the energy above the most stable polymorph in this dataset is 0.005 eV/atom. As for the density of states at the Fermi level: 4.39 states/eV/f.u. The calculation puts the calculated formation energy at 24 meV per atom. Its total energy is -16.512 eV for the cell shown. The calculation puts the total moment at 0.00 μB/atom.